Record 1
BaFe2P2 | meta-GGA SCAN | PBEsol geometry

- M_tot: 0.001 μB per atom
- Space-group type: I4/mmm (139)
- ΔH_f (0 K): -755 meV/atom

Cell: 3.7760 3.7760 6.6183 Å, 106.57 106.57 90.00°
Closest atoms and distances in Å follow each position.
Element x y z (fractional)
1 Fe 0.2500 0.7500 0.5000  4 P 2.18
2 Fe 0.7500 0.2500 0.5000  4 P 2.18
3 Ba 0.0000 0.0000 0.0000  8 P 3.30, 8 Fe 3.57
4 P 0.6607 0.6607 0.3214  4 Fe 2.18
5 P 0.3393 0.3393 0.6786  4 Fe 2.18

Record 2
Co2HW | meta-GGA SCAN | PBEsol geometry

- M_tot: 0.000 μB per atom
- Space-group type: I-42d (122)
- Polymorph energy (0 for the lowest one): 0.0 meV/atom

Cell: 4.7485 4.7485 4.7485 Å, 93.68 117.90 117.90°
Closest atoms and distances in Å follow each position.
Element x y z (fractional)
1 Co 0.6591 0.2841 0.1250  2 H 1.54
2 Co 0.8409 0.3750 0.7159  2 H 1.54
3 Co 0.1591 0.8750 0.5341  2 H 1.54
4 Co 0.3409 0.4659 0.6250  2 H 1.54
5 W 0.0000 0.0000 0.0000  8 Co 2.48-2.76
6 W 0.5000 0.7500 0.2500  8 Co 2.48-2.76
7 H 0.5000 0.2500 0.7500  4 Co 1.54
8 H 0.0000 0.5000 0.5000  4 Co 1.54

Record 3
Zr5In | meta-GGA SCAN | PBEsol geometry

- M_tot: 0.000 μB per atom
- Space-group type: Cmmm (65)
- ΔH_f (0 K): -194 meV/atom

Cell: 4.3738 4.3928 7.1354 Å, 72.07 90.00 90.00°
Closest atoms and distances in Å follow each position.
Element x y z (fractional)
1 Zr 0.0000 0.1655 0.6690  10 Zr 3.10-3.18, 2 In 3.14
2 Zr 0.5000 0.3346 0.3308  10 Zr 3.10-3.18, 2 In 3.13
3 Zr 0.5000 0.6654 0.6692  10 Zr 3.10-3.18, 2 In 3.13
4 Zr 0.5000 0.0000 0.0000  4 In 3.10, 8 Zr 3.14
5 Zr 0.0000 0.8345 0.3310  10 Zr 3.10-3.18, 2 In 3.14
6 In 0.0000 0.5000 0.0000  12 Zr 3.10-3.14

Record 4
CsB2P | meta-GGA SCAN | PBEsol geometry

- M_tot: 0.000 μB per atom
- Space-group type: I4_1/amd (141)
- ΔH_f (0 K): 843 meV/atom

Cell: 4.8793 4.8793 6.8717 Å, 110.80 110.80 90.00°
Closest atoms and distances in Å follow each position.
Element x y z (fractional)
1 B 0.1250 0.3750 0.7500  2 P 1.92
2 B 0.6250 0.3750 0.7500  2 P 1.92
3 B 0.6250 0.8750 0.2500  2 P 1.92
4 B 0.6250 0.3750 0.2500  2 P 1.92
5 P 0.7500 0.2500 0.5000  4 B 1.92
6 P 0.5000 0.5000 0.0000  4 B 1.92
7 Cs 0.0000 0.0000 0.0000  8 B 3.11, 4 P 3.45
8 Cs 0.2500 0.7500 0.5000  8 B 3.11, 4 P 3.45

Record 5
NiOs | meta-GGA SCAN | PBEsol geometry

- M_tot: 0.000 μB per atom
- Space-group type: Pmmn (59)
- ΔH_f (0 K): 119 meV/atom

Cell: 2.6417 4.1933 4.4631 Å, 90.00 90.00 90.00°
Closest atoms and distances in Å follow each position.
Element x y z (fractional)
1 Ni 0.0000 0.0000 0.5752  6 Os 2.53-2.66, 6 Ni 2.57-2.64
2 Ni 0.5000 0.5000 0.4248  6 Os 2.53-2.66, 6 Ni 2.57-2.64
3 Os 0.5000 0.0000 0.0924  6 Ni 2.53-2.66, 6 Os 2.61-2.64
4 Os 0.0000 0.5000 0.9076  6 Ni 2.53-2.66, 6 Os 2.61-2.64

Record 6
BeCu2Au | meta-GGA SCAN | PBEsol geometry

- M_tot: 0.000 μB per atom
- Space-group type: Pm (6)
- ΔH_f (0 K): -96 meV/atom

Cell: 2.7195 3.6839 5.0031 Å, 90.00 105.51 90.00°
Closest atoms and distances in Å follow each position.
Element x y z (fractional)
1 Cu 0.4176 0.5000 0.2111  6 Cu 2.49-2.72, 3 Be 2.55-2.65, 2 Au 2.78
2 Cu 0.8174 0.0000 0.0097  2 Be 2.25, 4 Cu 2.49
3 Au 0.0836 0.0000 0.5392  4 Be 2.48-2.49, 5 Cu 2.55-2.78, 2 Au 2.72
4 Be 0.6814 0.5000 0.7401  2 Cu 2.25, 4 Au 2.48-2.49

Record 7
AlGe3Sb | meta-GGA SCAN | PBEsol geometry

- M_tot: 0.000 μB per atom
- Energy relative to the elements, uncorrected: 0.586 eV per atom
- Space-group type: Pm-3m (221)

Cell: 4.8561 4.8561 4.8561 Å, 90.00 90.00 90.00°
Closest atoms and distances in Å follow each position.
Element x y z (fractional)
1 Ge 0.5000 0.0000 0.0000  2 Al 2.43
2 Ge 0.0000 0.0000 0.5000  2 Al 2.43
3 Ge 0.0000 0.5000 0.0000  2 Al 2.43
4 Sb 0.5000 0.5000 0.5000  12 Ge 3.43
5 Al 0.0000 0.0000 0.0000  6 Ge 2.43

Record 8
Os2RhBr | meta-GGA SCAN | PBEsol geometry

- M_tot: 0.000 μB per atom
- Energy relative to the elements, uncorrected: 1.183 eV per atom
- Space-group type: Immm (71)

Cell: 2.8478 4.3643 5.4517 Å, 113.60 105.14 90.00°
Closest atoms and distances in Å follow each position.
Element x y z (fractional)
1 Os 0.7215 0.7215 0.4431  2 Br 2.56, 6 Os 2.66-2.85
2 Os 0.2785 0.2785 0.5569  2 Br 2.56, 6 Os 2.66-2.85
3 Br 0.0000 0.5000 0.0000  4 Os 2.56, 4 Rh 2.61, 2 Br 2.85
4 Rh 0.5000 0.0000 0.0000  4 Br 2.61, 2 Rh 2.85

Question: Which value of M_tot does entry 4 give?
Answer: 0.000 μB per atom